Entry 1:
Here is an optimized crystal structure of Tb7TlIr4 from Alexandria. Energies are from PBE.

Cell: 7.358 7.358 9.832 Å, 122.75 122.75 43.63°
Element x y z (fractional)
Tb  0.000  0.000  0.000
Tb  0.174  0.174  0.619
Tb  0.288  0.288  0.126
Tb  0.424  0.424  0.633
Tb  0.576  0.576  0.367
Tb  0.712  0.712  0.874
Tb  0.826  0.826  0.381
Tl  0.500  0.500  0.000
Ir  0.068  0.068  0.780
Ir  0.204  0.204  0.340
Ir  0.796  0.796  0.660
Ir  0.932  0.932  0.220

Values from the calculation:
Its volume is 24.9 A^3/atom. As for the total energy: -75.7 eV per cell.

***

Entry 2:
Here is an optimized crystal structure of Tb5Tl2Ir from Alexandria. Energies are from PBE.

Cell: 8.744 8.744 12.482 Å, 90.00 90.00 143.30°
Element x y z (fractional)
Tb  0.074  0.926  0.602
Tb  0.074  0.926  0.898
Tb  0.294  0.706  0.250
Tb  0.297  0.703  0.574
Tb  0.297  0.703  0.926
Tb  0.703  0.297  0.074
Tb  0.703  0.297  0.426
Tb  0.706  0.294  0.750
Tb  0.926  0.074  0.102
Tb  0.926  0.074  0.398
Tl  0.117  0.883  0.132
Tl  0.117  0.883  0.368
Tl  0.883  0.117  0.632
Tl  0.883  0.117  0.868
Ir  0.192  0.808  0.750
Ir  0.808  0.192  0.250

Values from the calculation:
The distance to the lowest polymorph of the same formula comes out at 0.3718 eV/atom. Its volume is 35.7 A^3/atom.

***

Entry 3:
Here is an optimized crystal structure of TbTlIr4 from Alexandria. Energies are from PBE.

Cell: 5.353 5.353 5.353 Å, 60.00 60.00 60.00°
Element x y z (fractional)
Tb  0.000  0.000  0.000
Tl  0.250  0.250  0.250
Ir  0.126  0.625  0.625
Ir  0.625  0.126  0.625
Ir  0.625  0.625  0.126
Ir  0.625  0.625  0.625

Values from the calculation:
Its volume is 18.1 A^3/atom. As for the total energy: -43.8 eV per cell.

***

Entry 4:
Here is an optimized crystal structure of Tb6Tl5Ir from Alexandria. Energies are from PBE.

Cell: 9.111 9.111 9.111 Å, 146.30 130.05 61.62°
Element x y z (fractional)
Tb  0.076  0.348  0.728
Tb  0.220  0.000  0.220
Tb  0.381  0.652  0.728
Tb  0.619  0.348  0.272
Tb  0.780  0.000  0.780
Tb  0.924  0.652  0.272
Tl  0.185  0.185  0.000
Tl  0.338  0.838  0.500
Tl  0.500  0.500  0.000
Tl  0.662  0.162  0.500
Tl  0.815  0.815  0.000
Ir  0.000  0.500  0.500

Values from the calculation:
Its volume is 26.5 A^3/atom. As for the total energy: -53.5 eV per cell.

***

Entry 5:
Here is an optimized crystal structure of Tb5Tl4Ir from Alexandria. Energies are from PBE.

Cell: 3.542 3.542 20.844 Å, 90.00 90.00 90.00°
Element x y z (fractional)
Tb  0.000  0.000  0.000
Tb  0.000  0.000  0.208
Tb  0.000  0.000  0.421
Tb  0.000  0.000  0.579
Tb  0.000  0.000  0.792
Tl  0.500  0.500  0.104
Tl  0.500  0.500  0.311
Tl  0.500  0.500  0.689
Tl  0.500  0.500  0.896
Ir  0.500  0.500  0.500

Values from the calculation:
Its volume is 26.2 A^3/atom. As for the total energy: -46.0 eV per cell.

***

Entry 6:
Here is an optimized crystal structure of Tb5Tl2Ir from Alexandria. Energies are from PBE.

Cell: 7.575 12.360 4.742 Å, 90.00 90.00 90.00°
Element x y z (fractional)
Tb  0.000  0.000  0.000
Tb  0.137  0.295  0.000
Tb  0.180  0.575  0.500
Tb  0.320  0.075  0.500
Tb  0.363  0.795  0.000
Tb  0.500  0.500  0.000
Tb  0.637  0.205  0.000
Tb  0.680  0.925  0.500
Tb  0.820  0.425  0.500
Tb  0.863  0.705  0.000
Tl  0.079  0.833  0.500
Tl  0.421  0.333  0.500
Tl  0.579  0.667  0.500
Tl  0.921  0.167  0.500
Ir  0.000  0.500  0.000
Ir  0.500  0.000  0.000

Values from the calculation:
The distance to the lowest polymorph of the same formula comes out at 0.0000 eV/atom. Its volume is 27.8 A^3/atom.